1.
{"formula": "Li2TlTe2", "functional": "PBE-GGA", "state": "relaxed", "cell": [[6.199, 0.000, 0.000], [2.512, 6.081, 0.000], [3.033, 0.783, 7.999]], "species": ["Li", "Li", "Li", "Li", "Tl", "Tl", "Te", "Te", "Te", "Te"], "frac_coords": [[0.058, 0.044, 0.219], [0.314, 0.460, 0.262], [0.686, 0.540, 0.738], [0.942, 0.956, 0.781], [0.299, 0.275, 0.760], [0.701, 0.725, 0.240], [0.000, 0.251, 0.490], [0.000, 0.749, 0.510], [0.260, 0.749, 0.974], [0.740, 0.251, 0.026]], "vol_a3_per_cell": 301.54, "total_energy_ev_per_atom": -3.0901, "dos_at_fermi_per_ev_cell": 2.53, "space_group": "P-1 (2)", "crystal_system": "triclinic", "de_polymorph_mev_per_atom": 49.2, "e_form_raw_ev_per_fu": -2.97}

2.
{"formula": "Ca3AlGa", "functional": "PBE-GGA", "state": "relaxed", "cell": [[5.678, 0.000, 0.000], [0.000, 5.678, 0.000], [0.000, 0.000, 5.678]], "species": ["Ca", "Ca", "Ca", "Al", "Ga"], "frac_coords": [[0.000, 0.000, 0.500], [0.000, 0.500, 0.000], [0.500, 0.000, 0.000], [0.500, 0.500, 0.500], [0.000, 0.000, 0.000]], "vol_a3_per_cell": 183.03, "total_energy_ev_per_atom": -2.4223, "formation_energy_kj_per_mol_atoms": 12.8, "dos_at_fermi_per_ev_cell": 6.42, "space_group": "Pm-3m (221)", "crystal_system": "cubic", "de_polymorph_mev_per_atom": 398.8}

3.
{"formula": "Pm2Sc2O", "functional": "PBE-GGA", "state": "relaxed", "cell": [[5.179, 0.000, 0.000], [0.000, 5.179, 0.000], [0.000, 0.000, 4.250]], "species": ["Pm", "Pm", "Sc", "Sc", "O"], "frac_coords": [[0.000, 0.500, 0.000], [0.500, 0.000, 0.000], [0.000, 0.000, 0.500], [0.500, 0.500, 0.500], [0.000, 0.000, 0.000]], "vol_a3_per_cell": 114.01, "total_energy_ev_per_atom": -6.5963, "dos_at_fermi_per_ev_cell": 4.05, "space_group": "P4/mmm (123)", "crystal_system": "tetragonal", "e_form_raw_ev_per_fu": -5.86}

4.
{"formula": "TmTiCu2", "functional": "PBE-GGA", "state": "relaxed", "cell": [[3.244, 0.000, 0.000], [0.000, 3.244, 0.000], [0.000, 0.000, 6.526]], "species": ["Tm", "Ti", "Cu", "Cu"], "frac_coords": [[0.000, 0.000, 0.000], [0.000, 0.000, 0.500], [0.500, 0.500, 0.290], [0.500, 0.500, 0.710]], "vol_a3_per_cell": 68.66, "total_energy_ev_per_atom": -5.2605, "formation_energy_kj_per_mol_atoms": -11.7, "dos_at_fermi_per_ev_cell": 4.00, "space_group": "P4/mmm (123)", "crystal_system": "tetragonal", "de_polymorph_mev_per_atom": 0.0}